Record 1
Entry from Alexandria: crystalline NdHfAs2 at its relaxed geometry (PBE).

Lattice parameters (Å, degrees): 7.3338 7.3338 7.3338 31.26 31.26 31.26
Last column: nearest neighbours and their distance in Å.
Sites, in units of the cell vectors:
Nd: 0.0000 0.0000 0.0000  6 As 2.96-3.05
Hf: 0.1733 0.1733 0.1733  6 As 2.71-2.78
As: 0.5764 0.5764 0.5764  3 Hf 2.71, 3 Nd 2.96
As: 0.7637 0.7637 0.7637  3 Hf 2.78, 3 Nd 3.05

Summary:
**Total DFT energy (no corrections)**: -7.1730 eV per atom
**Offset from the most stable computed form**: 74.2 meV/atom
**Fermi-level density of states**: 2.789 states/eV per cell
**Symmetry**: R3m

---

Record 2
Entry from Alexandria: crystalline Pr3P5Ir6 at its relaxed geometry (PBE).

Lattice parameters (Å, degrees): 3.9284 12.2537 10.1312 90.00 90.00 90.00
Last column: nearest neighbours and their distance in Å.
Sites, in units of the cell vectors:
Pr: 0.2500 0.0993 0.2437  6 P 3.02-3.10, 7 Ir 3.07-3.31
Pr: 0.2500 0.4007 0.2437  6 P 3.02-3.10, 7 Ir 3.07-3.31
Pr: 0.2500 0.7500 0.2652  6 P 3.00-3.10, 6 Ir 3.15-3.23
Pr: 0.7500 0.2500 0.7348  6 P 3.00-3.10, 6 Ir 3.15-3.23
Pr: 0.7500 0.5993 0.7563  6 P 3.02-3.10, 7 Ir 3.07-3.31
Pr: 0.7500 0.9007 0.7563  6 P 3.02-3.10, 7 Ir 3.07-3.31
P: 0.2500 0.0761 0.8443  5 Ir 2.40-2.63
P: 0.2500 0.4239 0.8443  5 Ir 2.40-2.63
P: 0.2500 0.6294 0.5230  5 Ir 2.35-2.56
P: 0.2500 0.7500 0.8917  4 Ir 2.37-2.43
P: 0.2500 0.8706 0.5230  5 Ir 2.35-2.56
P: 0.7500 0.1294 0.4770  5 Ir 2.35-2.56
P: 0.7500 0.2500 0.1083  4 Ir 2.37-2.43
P: 0.7500 0.3706 0.4770  5 Ir 2.35-2.56
P: 0.7500 0.5761 0.1557  5 Ir 2.40-2.63
P: 0.7500 0.9239 0.1557  5 Ir 2.40-2.63
Ir: 0.2500 0.0498 0.6069  4 P 2.35-2.56
Ir: 0.2500 0.2500 0.4863  4 P 2.46, 2 Ir 2.74
Ir: 0.2500 0.2500 0.9780  4 P 2.37-2.52
Ir: 0.2500 0.4502 0.6069  4 P 2.35-2.56
Ir: 0.2500 0.5823 0.0191  4 P 2.40-2.63
Ir: 0.2500 0.9177 0.0191  4 P 2.40-2.63
Ir: 0.7500 0.0823 0.9809  4 P 2.40-2.63
Ir: 0.7500 0.4177 0.9809  4 P 2.40-2.63
Ir: 0.7500 0.5498 0.3931  4 P 2.35-2.56
Ir: 0.7500 0.7500 0.0220  4 P 2.37-2.52
Ir: 0.7500 0.7500 0.5137  4 P 2.46, 2 Ir 2.74
Ir: 0.7500 0.9502 0.3931  4 P 2.35-2.56

Summary:
**Total DFT energy (no corrections)**: -7.6556 eV per atom
**Fermi-level density of states**: 14.364 states/eV per cell
**Symmetry**: Pmmn

---

Record 3
Entry from Alexandria: crystalline Co2As2Rh at its relaxed geometry (PBE).

Lattice parameters (Å, degrees): 6.7170 6.7170 2.9175 90.00 90.00 90.00
Last column: nearest neighbours and their distance in Å.
Sites, in units of the cell vectors:
Co: 0.1353 0.3647 0.0000  6 As 2.45, 1 Co 2.57
Co: 0.3647 0.8647 0.0000  6 As 2.45, 1 Co 2.57
Co: 0.6353 0.1353 0.0000  6 As 2.45, 1 Co 2.57
Co: 0.8647 0.6353 0.0000  6 As 2.45, 1 Co 2.57
As: 0.1570 0.6570 0.5000  6 Co 2.45, 2 Rh 2.53
As: 0.3430 0.1570 0.5000  6 Co 2.45, 2 Rh 2.53
As: 0.6570 0.8430 0.5000  6 Co 2.45, 2 Rh 2.53
As: 0.8430 0.3430 0.5000  6 Co 2.45, 2 Rh 2.53
Rh: 0.0000 0.0000 0.5000  4 As 2.53
Rh: 0.5000 0.5000 0.5000  4 As 2.53

Summary:
**Total DFT energy (no corrections)**: -6.2741 eV per atom
**Fermi-level density of states**: 9.051 states/eV per cell
**Symmetry**: P4/mbm